No. 1
Below is a PBEsol-optimized structure of Ba2HN, with properties calculated at the SCAN level.

The structure in POSCAR format:
```
Ba2HN
1.0
-3.0046 3.0046 6.0886
3.0046 -3.0046 6.0886
3.0046 3.0046 -6.0886
Ba H N
4 2 2
Direct
0.1089 0.6250 0.9839 Ba
0.3750 0.3589 0.4839 Ba
0.6411 0.1250 0.0161 Ba
0.8750 0.8911 0.5161 Ba
0.2500 0.7500 0.5000 H
0.5000 0.5000 0.0000 H
0.0000 0.0000 0.0000 N
0.7500 0.2500 0.5000 N
```

E_tot: -23.47 eV/atom

---

No. 2
Below is a PBEsol-optimized structure of OsRhW2, with properties calculated at the SCAN level.

The structure in POSCAR format:
```
OsRhW2
1.0
2.7241 0.0000 0.0000
0.0000 2.7241 0.0000
0.0000 0.0000 7.9549
Os Rh W
1 1 2
Direct
0.0000 0.0000 0.0000 Os
0.5000 0.5000 0.2433 Rh
0.0000 0.0000 0.4862 W
0.5000 0.5000 0.7585 W
```

E_tot: -61.14 eV/atom
Relative energy among the computed polymorphs: 0.198 eV per atom
Calculated formation energy: 0.1151 eV per atom

---

Q: Among the records above, which one has the highest E_tot?
A: Ba2HN

---

Q: E_tot of number 1 (Ba2HN)?
A: -23.47 eV/atom